Material: Rb2NbSiI6
Method: DFT, PBE-GGA
State: relaxed

Geometry as extended XYZ:
```
10
Lattice="-4.152 4.152 5.866 4.152 -4.152 5.866 4.152 4.152 -5.866" Properties=species:S:1:pos:R:3 pbc="T T T"
Rb 4.152 0.000 2.933
Rb 0.000 4.152 2.933
Nb 0.000 0.000 0.000
Si 0.000 0.000 5.866
I 0.000 0.000 2.924
I 2.069 2.069 0.000
I 2.083 -2.083 5.866
I -2.083 2.083 5.866
I 0.000 0.000 8.807
I 2.083 2.083 5.866
```

Mass density ... 4.3 g/cm3
ΔE_f (raw) ... -0.574 eV/atom
V ... 40.46 Å³ per atom
SG ... I4/mmm, No. 139